A plane-wave DFT calculation with GGA-PBEsol was carried out for a relaxed TlS3F crystal.

```
5
Lattice="5.161 0.000 0.000 0.000 5.161 0.000 0.000 0.000 5.161" Properties=species:S:1:pos:R:3 pbc="T T T"
Tl 0.000 0.000 0.000
S 0.000 2.580 0.000
S 0.000 0.000 2.580
S 2.580 0.000 0.000
F 2.580 2.580 2.580
```

Properties
DFT total energy, eV per atom: -2.60
ΔE_f (raw), meV/atom: 937.7

=====

A plane-wave DFT calculation with GGA-PBEsol was carried out for a relaxed WSF2 crystal.

```
4
Lattice="-0.029 -0.975 -2.587 2.257 -1.205 -1.049 -2.389 -9.501 2.128" Properties=species:S:1:pos:R:3 pbc="T T T"
S -0.081 -5.840 -0.754
W 0.000 0.000 0.000
F 1.638 -3.831 -3.008
F -1.800 -7.849 1.500
```

Properties
DFT total energy, eV per atom: -6.31
ΔE_f (raw), meV/atom: -796.4

=====

| no. | size of the total moment (μB/atom) |
| --- | --- |
| 1 | 0.8297 |
| 2 | 0.0789 |